DFT (PBE) results for a relaxed ZrHgIr2 crystal.

Output
- space-group type = No. 10
- M_tot (μB/cell) = 0.000
- calculated formation energy (meV/atom) = 18

Unit cell a=4.6698 b=2.8935 c=5.2420 alpha=87.30 beta=90.00 gamma=90.00
Fractional coordinates of all 4 atoms:
Hg 0.5000 0.7500 0.7500
Ir 0.0000 0.9707 0.9993
Ir 0.0000 0.5293 0.5007
Zr 0.5000 0.2500 0.2500